No. 1
LaY2Mo after structural relaxation, computed with PBE.

Computed properties:
Magnetization   0.0 μB/cell

Structure (CIF):
```
data_LaY2Mo
_chemical_formula_sum 'La2 Y4 Mo2'
_cell_length_a 3.6452
_cell_length_b 5.5290
_cell_length_c 10.8977
_cell_angle_alpha 90.00
_cell_angle_beta 90.00
_cell_angle_gamma 90.00
_symmetry_space_group_name_H-M 'I m m 2'
_symmetry_Int_Tables_number 44
_symmetry_space_group_name_Hall 'I 2 -2'
loop_
_atom_site_label
_atom_site_fract_x
_atom_site_fract_y
_atom_site_fract_z
La1 0.0000 0.0000 0.0000
Y1 0.0000 0.0000 0.4053
Y2 0.0000 0.5000 0.2001
Mo1 0.0000 0.5000 0.6844
```

No. 2
LaY2Mo after structural relaxation, computed with PBE.

Computed properties:
Magnetization   0.5 μB/cell

Structure (CIF):
```
data_LaY2Mo
_chemical_formula_sum 'La1 Y2 Mo1'
_cell_length_a 3.5812
_cell_length_b 3.5812
_cell_length_c 8.7179
_cell_angle_alpha 90.00
_cell_angle_beta 90.00
_cell_angle_gamma 90.00
_symmetry_space_group_name_H-M 'P 4 m m'
_symmetry_Int_Tables_number 99
_symmetry_space_group_name_Hall 'P 4 -2'
loop_
_atom_site_label
_atom_site_fract_x
_atom_site_fract_y
_atom_site_fract_z
La1 0.0000 0.0000 0.0000
Y1 0.0000 0.0000 0.3952
Y2 0.5000 0.5000 0.6956
Mo1 0.5000 0.5000 0.1936
```

No. 3
LaY2Mo after structural relaxation, computed with PBE.

Computed properties:
Magnetization   0.0 μB/cell

Structure (CIF):
```
data_LaY2Mo
_chemical_formula_sum 'La2 Y4 Mo2'
_cell_length_a 3.7726
_cell_length_b 5.6206
_cell_length_c 10.5855
_cell_angle_alpha 90.00
_cell_angle_beta 90.00
_cell_angle_gamma 90.00
_symmetry_space_group_name_H-M 'C m m 2'
_symmetry_Int_Tables_number 35
_symmetry_space_group_name_Hall 'C 2 -2'
loop_
_atom_site_label
_atom_site_fract_x
_atom_site_fract_y
_atom_site_fract_z
La1 0.0000 0.0000 0.0000
Y1 0.0000 0.0000 0.5994
Y2 0.0000 0.5000 0.3143
Mo1 0.0000 0.5000 0.8063
```

No. 4
LaY2Mo after structural relaxation, computed with PBE.

Computed properties:
Magnetization   0.0 μB/cell

Structure (CIF):
```
data_LaY2Mo
_chemical_formula_sum 'La1 Y2 Mo1'
_cell_length_a 3.5066
_cell_length_b 3.5066
_cell_length_c 9.2732
_cell_angle_alpha 90.00
_cell_angle_beta 90.00
_cell_angle_gamma 90.00
_symmetry_space_group_name_H-M 'P 4/m m m'
_symmetry_Int_Tables_number 123
_symmetry_space_group_name_Hall '-P 4 2'
loop_
_atom_site_label
_atom_site_fract_x
_atom_site_fract_y
_atom_site_fract_z
La1 0.0000 0.0000 0.0000
Y1 0.5000 0.5000 0.3134
Mo1 0.0000 0.0000 0.5000
```

No. 5
LaY2Mo after structural relaxation, computed with PBE.

Computed properties:
Magnetization   0.0 μB/cell

Structure (CIF):
```
data_LaY2Mo
_chemical_formula_sum 'La1 Y2 Mo1'
_cell_length_a 3.2973
_cell_length_b 4.7785
_cell_length_c 6.7750
_cell_angle_alpha 90.00
_cell_angle_beta 90.00
_cell_angle_gamma 90.00
_symmetry_space_group_name_H-M 'P m m m'
_symmetry_Int_Tables_number 47
_symmetry_space_group_name_Hall '-P 2 2'
loop_
_atom_site_label
_atom_site_fract_x
_atom_site_fract_y
_atom_site_fract_z
La1 0.0000 0.0000 0.0000
Y1 0.5000 0.5000 0.2793
Mo1 0.0000 0.0000 0.5000
```

No. 6
LaY2Mo after structural relaxation, computed with PBE.

Computed properties:
Magnetization   0.0 μB/cell

Structure (CIF):
```
data_LaY2Mo
_chemical_formula_sum 'La4 Y8 Mo4'
_cell_length_a 8.8076
_cell_length_b 8.8076
_cell_length_c 6.1662
_cell_angle_alpha 90.00
_cell_angle_beta 90.00
_cell_angle_gamma 90.00
_symmetry_space_group_name_H-M 'I -4 2 d'
_symmetry_Int_Tables_number 122
_symmetry_space_group_name_Hall 'I -4 2bw'
loop_
_atom_site_label
_atom_site_fract_x
_atom_site_fract_y
_atom_site_fract_z
La1 0.0000 0.0000 0.0000
Y1 0.1771 0.7500 0.6250
Mo1 0.0000 0.0000 0.5000
```

No. 7
LaY2Mo after structural relaxation, computed with PBE.

Computed properties:
Magnetization   0.0 μB/cell

Structure (CIF):
```
data_LaY2Mo
_chemical_formula_sum 'La1 Y2 Mo1'
_cell_length_a 3.5351
_cell_length_b 4.7144
_cell_length_c 6.7085
_cell_angle_alpha 90.00
_cell_angle_beta 103.22
_cell_angle_gamma 90.00
_symmetry_space_group_name_H-M 'P 1 m 1'
_symmetry_Int_Tables_number 6
_symmetry_space_group_name_Hall 'P -2y'
loop_
_atom_site_label
_atom_site_fract_x
_atom_site_fract_y
_atom_site_fract_z
La1 0.0000 0.0000 0.0000
Y1 0.3342 0.5000 0.6956
Y2 0.7394 0.0000 0.4287
Mo1 0.2483 0.5000 0.2149
```

No. 8
LaY2Mo after structural relaxation, computed with PBE.

Computed properties:
Magnetization   0.0 μB/cell

Structure (CIF):
```
data_LaY2Mo
_chemical_formula_sum 'La4 Y8 Mo4'
_cell_length_a 7.4931
_cell_length_b 7.4931
_cell_length_c 7.4931
_cell_angle_alpha 90.00
_cell_angle_beta 90.00
_cell_angle_gamma 90.00
_symmetry_space_group_name_H-M 'F m -3 m'
_symmetry_Int_Tables_number 225
_symmetry_space_group_name_Hall '-F 4 2 3'
loop_
_atom_site_label
_atom_site_fract_x
_atom_site_fract_y
_atom_site_fract_z
La1 0.0000 0.0000 0.0000
Y1 0.2500 0.2500 0.2500
Mo1 0.0000 0.0000 0.5000
```

| no. | ΔH_f (0 K) (meV/atom) | excess energy over the best structure of this formula in the dataset (meV per atom) |
| --- | --- | --- |
| 1 | 277 | 0 |
| 2 | 323 | 46 |
| 3 | 370 | 93 |
| 4 | 281 | 4 |
| 5 | 439 | 162 |
| 6 | 604 | 327 |
| 7 | 361 | 83 |
| 8 | 423 | 146 |